No. 1
Entry from Alexandria: a relaxed structure of Ba2AgAs (PBE).

Output
V in Å³/atom: 34.88
SG: Amm2, No. 38
N(E_F) in states/eV per atom: 0.116
Formation energy from the elements in eV/atom: -0.689

Lattice parameters (Å, degrees): 6.6120 6.6120 4.8528 90.00 90.00 41.11
With the nearest neighbours (Å) after each atom.
Fractional positions:
Ba: 0.7420 0.7420 0.6250  4 As 3.43, 3 Ag 3.44-3.66
Ba: 0.0118 0.0118 0.1250  4 Ag 3.45, 3 As 3.51-3.56
As: 0.2996 0.2996 0.1249  2 Ag 3.03
Ag: 0.4466 0.4466 0.6251  2 As 3.03

No. 2
Entry from Alexandria: a relaxed structure of KScSN2 (PBE).

Output
V in Å³/atom: 20.07
SG: P4/mmm, No. 123
Formation energy without anion corrections in meV per atom: 121
ΔE to the lowest computed polymorph in meV/atom: 0
N(E_F) in states/eV per atom: 0.475

Lattice parameters (Å, degrees): 4.4513 4.4513 5.0646 90.00 90.00 90.00
With the nearest neighbours (Å) after each atom.
Fractional positions:
N: 0.0000 0.5000 0.0000  2 Sc 2.23
N: 0.5000 0.0000 0.0000  2 Sc 2.23
K: 0.5000 0.5000 0.5000  4 S 3.15, 8 N 3.37
Sc: 0.0000 0.0000 0.0000  4 N 2.23
S: 0.0000 0.0000 0.5000  2 Sc 2.53

No. 3
Entry from Alexandria: a relaxed structure of Cs4PdO (PBE).

Output
V in Å³/atom: 52.63
SG: I-4, No. 82
Formation energy without anion corrections in meV per atom: -359
N(E_F) in states/eV per atom: 0.015

Lattice parameters (Å, degrees): 7.4305 7.4305 7.4304 109.11 109.11 110.20
With the nearest neighbours (Å) after each atom.
Fractional positions:
Cs: 0.7197 0.2751 0.9988  1 O 2.71
Cs: 0.2763 0.7209 0.0013  1 O 2.71
Cs: 0.2791 0.2803 0.5554  1 O 2.71
Cs: 0.7249 0.7237 0.4446  1 O 2.71
O: 0.5000 0.5000 0.0000  4 Cs 2.71
Pd: 0.7500 0.2500 0.5000  8 Cs 3.73

No. 4
Entry from Alexandria: a relaxed structure of Pr4TlHg5 (PBE).

Output
V in Å³/atom: 28.42
SG: P4/mmm, No. 123
N(E_F) in states/eV per atom: 0.886
Formation energy from the elements in eV/atom: -0.402

Lattice parameters (Å, degrees): 3.9178 3.9178 18.5155 90.00 90.00 90.00
With the nearest neighbours (Å) after each atom.
Fractional positions:
Hg: 0.5000 0.5000 0.2965  8 Pr 3.35-3.37, 1 Hg 3.70
Hg: 0.5000 0.5000 0.7035  8 Pr 3.35-3.37, 1 Hg 3.70
Hg: 0.5000 0.5000 0.9033  4 Pr 3.29, 4 Tl 3.30, 1 Hg 3.58
Hg: 0.5000 0.5000 0.0967  4 Pr 3.29, 4 Tl 3.30, 1 Hg 3.58
Hg: 0.5000 0.5000 0.5000  8 Pr 3.35
Tl: 0.0000 0.0000 0.0000  8 Hg 3.30, 2 Pr 3.56
Pr: 0.0000 0.0000 0.1924  8 Hg 3.29-3.37, 1 Tl 3.56
Pr: 0.0000 0.0000 0.3978  8 Hg 3.35
Pr: 0.0000 0.0000 0.6022  8 Hg 3.35
Pr: 0.0000 0.0000 0.8076  8 Hg 3.29-3.37, 1 Tl 3.56

No. 5
Entry from Alexandria: a relaxed structure of Pr2AlIn8 (PBE).

Output
V in Å³/atom: 26.50
SG: P4/mmm, No. 123
N(E_F) in states/eV per atom: 0.390
Formation energy from the elements in eV/atom: -0.288

Lattice parameters (Å, degrees): 4.8305 4.8305 12.4923 90.00 90.00 90.00
With the nearest neighbours (Å) after each atom.
Fractional positions:
In: 0.5000 0.0000 0.5000  8 In 3.34-3.42, 4 Pr 3.37
In: 0.0000 0.5000 0.8733  2 Al 2.89, 1 In 3.17
In: 0.0000 0.5000 0.5000  8 In 3.34-3.42, 4 Pr 3.37
In: 0.5000 0.0000 0.8733  2 Al 2.89, 1 In 3.17
In: 0.5000 0.5000 0.3152  8 In 3.34-3.37, 4 Pr 3.42
In: 0.5000 0.0000 0.1267  2 Al 2.89, 1 In 3.17
In: 0.0000 0.5000 0.1267  2 Al 2.89, 1 In 3.17
In: 0.5000 0.5000 0.6848  8 In 3.34-3.37, 4 Pr 3.42
Pr: 0.0000 0.0000 0.6887  12 In 3.34-3.42
Pr: 0.0000 0.0000 0.3113  12 In 3.34-3.42
Al: 0.0000 0.0000 0.0000  8 In 2.89

No. 6
Entry from Alexandria: a relaxed structure of TlAsPd2 (PBE).

Output
V in Å³/atom: 19.54
SG: Pbca, No. 61
N(E_F) in states/eV per atom: 0.410
Formation energy from the elements in eV/atom: -0.292

Lattice parameters (Å, degrees): 5.8482 6.8568 15.5897 90.00 90.00 90.00
With the nearest neighbours (Å) after each atom.
Fractional positions:
Tl: 0.2237 0.0994 0.1952  5 Pd 2.78-3.07
Tl: 0.2237 0.5994 0.3048  5 Pd 2.78-3.07
Tl: 0.7763 0.4006 0.6952  5 Pd 2.78-3.07
Tl: 0.7237 0.9006 0.3048  5 Pd 2.78-3.07
Tl: 0.7763 0.9006 0.8048  5 Pd 2.78-3.07
Tl: 0.2763 0.5994 0.8048  5 Pd 2.78-3.07
Tl: 0.7237 0.4006 0.1952  5 Pd 2.78-3.07
Tl: 0.2763 0.0994 0.6952  5 Pd 2.78-3.07
Pd: 0.4884 0.6986 0.4564  4 As 2.53-2.65
Pd: 0.0116 0.1986 0.5436  4 As 2.53-2.65
Pd: 0.0115 0.7123 0.1530  2 As 2.50-2.52, 2 Tl 2.78-2.80
Pd: 0.0116 0.6986 0.9564  4 As 2.53-2.65
Pd: 0.9885 0.2877 0.8470  2 As 2.50-2.52, 2 Tl 2.78-2.80
Pd: 0.5115 0.7877 0.1530  2 As 2.50-2.52, 2 Tl 2.78-2.80
Pd: 0.5116 0.8014 0.9564  4 As 2.53-2.65
Pd: 0.4884 0.1986 0.0436  4 As 2.53-2.65
Pd: 0.9885 0.7877 0.6530  2 As 2.50-2.52, 2 Tl 2.78-2.80
Pd: 0.9884 0.3014 0.0436  4 As 2.53-2.65
Pd: 0.4885 0.7123 0.6530  2 As 2.50-2.52, 2 Tl 2.78-2.80
Pd: 0.5116 0.3014 0.5436  4 As 2.53-2.65
Pd: 0.5115 0.2877 0.3470  2 As 2.50-2.52, 2 Tl 2.78-2.80
Pd: 0.9884 0.8014 0.4564  4 As 2.53-2.65
Pd: 0.0115 0.2123 0.3470  2 As 2.50-2.52, 2 Tl 2.78-2.80
Pd: 0.4885 0.2123 0.8470  2 As 2.50-2.52, 2 Tl 2.78-2.80
As: 0.8046 0.4492 0.4415  6 Pd 2.50-2.65
As: 0.1954 0.5508 0.5585  6 Pd 2.50-2.65
As: 0.6954 0.4492 0.9415  6 Pd 2.50-2.65
As: 0.8046 0.9492 0.0585  6 Pd 2.50-2.65
As: 0.1954 0.0508 0.9415  6 Pd 2.50-2.65
As: 0.6954 0.9492 0.5585  6 Pd 2.50-2.65
As: 0.3046 0.5508 0.0585  6 Pd 2.50-2.65
As: 0.3046 0.0508 0.4415  6 Pd 2.50-2.65

No. 7
Entry from Alexandria: a relaxed structure of LaCrPdPt2 (PBE).

Output
V in Å³/atom: 23.00
SG: P4/mmm, No. 123
N(E_F) in states/eV per atom: 0.918
Formation energy from the elements in eV/atom: 0.155

Lattice parameters (Å, degrees): 5.0517 4.5061 5.0517 90.00 90.00 90.00
With the nearest neighbours (Å) after each atom.
Fractional positions:
Cr: 0.0000 0.5000 0.0000  2 Pd 2.25
Pd: 0.0000 0.0000 0.0000  2 Cr 2.25
Pt: 0.0000 0.0000 0.5000  2 Pd 2.53
Pt: 0.5000 0.0000 0.0000  2 Pd 2.53
La: 0.5000 0.5000 0.5000  8 Pt 3.38, 4 Cr 3.57

No. 8
Entry from Alexandria: a relaxed structure of CuHgBiPb2 (PBE).

Output
V in Å³/atom: 28.95
SG: P4/mmm, No. 123
N(E_F) in states/eV per atom: 0.464
Formation energy from the elements in eV/atom: 0.199

Lattice parameters (Å, degrees): 5.3708 5.3708 5.0177 90.00 90.00 90.00
With the nearest neighbours (Å) after each atom.
Fractional positions:
Cu: 0.0000 0.0000 0.0000  2 Hg 2.51, 4 Pb 2.69
Hg: 0.0000 0.0000 0.5000  2 Cu 2.51
Pb: 0.0000 0.5000 0.0000  2 Cu 2.69
Pb: 0.5000 0.0000 0.0000  2 Cu 2.69
Bi: 0.5000 0.5000 0.5000  8 Pb 3.67, 4 Hg 3.80

- Number 3 is which compound?
  Cs4PdO

- Among the records above, which one has the highest V?
  Cs4PdO